## SmDy2NpSb4 (PBE-GGA)

Data for a relaxed structure of SmDy2NpSb4.

- M_tot: 3.899 μB per formula unit
- D(E_F): 11.52 states/eV/f.u.
- Total energy: -6.320 eV/atom
- Space group: P2/m (10)

Cell lengths 4.4094, 7.6421, 7.6344 Å; angles 109.35, 90.00, 90.00 degrees
Last column: magnetic moment on the atom in μB.
Fractional coordinates of all 8 atoms:
Sm 0.5000 0.5000 0.0000  0.01
Dy 0.5000 0.0000 0.5000  0.00
Dy 0.0000 0.5000 0.5000  -0.02
Np 0.0000 0.0000 0.0000  3.87
Sb 0.5000 0.2488 0.2527  -0.05
Sb 0.5000 0.7512 0.7473  -0.05
Sb 0.0000 0.2458 0.7465  -0.03
Sb 0.0000 0.7542 0.2535  -0.03